(1)
SrPmGe2Pt2 | PBE | optimized geometry

abc: 4.340 4.340 8.522
angles: 90.00 90.00 120.00
Fractional positions:
Sr 0.000 0.000 0.000
Pm 0.000 0.000 0.500
Ge 0.333 0.667 0.733
Ge 0.667 0.333 0.267
Pt 0.333 0.667 0.269
Pt 0.667 0.333 0.731

Properties
As for the energy: -33.41 eV/cell.

(2)
Pm2TaGe4Pt3 | PBE | optimized geometry

abc: 4.264 4.264 10.786
angles: 90.00 90.00 90.00
Fractional positions:
Pm 0.000 0.500 0.239
Pm 0.500 0.000 0.761
Ta 0.000 0.000 0.500
Ge 0.000 0.000 0.000
Ge 0.000 0.500 0.643
Ge 0.500 0.000 0.357
Ge 0.500 0.500 0.000
Pt 0.000 0.500 0.873
Pt 0.500 0.000 0.127
Pt 0.500 0.500 0.500

Properties
As for the energy: -66.01 eV/cell.

(3)
Pm2TaGe3Pt4 | PBE | optimized geometry

abc: 4.274 4.274 10.715
angles: 90.00 90.00 90.00
Fractional positions:
Pm 0.000 0.500 0.238
Pm 0.500 0.000 0.762
Ta 0.000 0.000 0.500
Ge 0.000 0.500 0.866
Ge 0.500 0.000 0.134
Ge 0.500 0.500 0.500
Pt 0.000 0.000 0.000
Pt 0.000 0.500 0.636
Pt 0.500 0.000 0.364
Pt 0.500 0.500 0.000

Properties
As for the energy: -67.96 eV/cell.

(4)
TbPmGe2Pt2 | PBE | optimized geometry

abc: 4.424 4.424 7.351
angles: 90.00 90.00 120.00
Fractional positions:
Tb 0.000 0.000 0.000
Pm 0.000 0.000 0.500
Ge 0.333 0.667 0.762
Ge 0.667 0.333 0.238
Pt 0.333 0.667 0.233
Pt 0.667 0.333 0.767

Properties
As for the energy: -37.10 eV/cell.

Q: Which formula does entry 1 have?
A: SrPmGe2Pt2